[1]
## LiYAl2 (PBE)

Data for an optimized crystal structure of LiYAl2.

Results
**Magnetization**: 0.00 μB per formula unit
**DFT total energy**: -61.124 eV/cell
**D(E_F)**: 11.09 states/eV/cell
**Excess energy over the best structure of this formula in the dataset**: 431 meV per atom
**ΔE_f**: 14 kJ per mole of atoms

abc: 4.6115 4.6115 17.9947
angles: 90.00 90.00 90.00
Space group I-42d (No. 122)
Asymmetric unit:
Li 0.0000 0.0000 0.0000 x4
Y 0.0000 0.0000 0.5000 x4
Al 0.1148 0.7500 0.1250 x8


[2]
## La7Nd3Er2 (PBE)

Data for an optimized crystal structure of La7Nd3Er2.

Results
**Magnetization**: 0.00 μB per formula unit
**DFT total energy**: -57.113 eV/cell
**D(E_F)**: 18.31 states/eV/cell
**Excess energy over the best structure of this formula in the dataset**: 0 meV per atom
**ΔE_f**: 6 kJ per mole of atoms

abc: 6.5860 3.5991 18.0214
angles: 90.00 95.89 90.00
Space group P2/m (No. 10)
Asymmetric unit:
La 0.0000 0.0000 0.0000 x1
La 0.2214 0.5000 0.1720 x2
La 0.2604 0.5000 0.4912 x2
La 0.2710 0.0000 0.8305 x2
Nd 0.4554 0.0000 0.3364 x2
Nd 0.5000 0.5000 0.0000 x1
Er 0.0568 0.5000 0.6692 x2


[3]
## TmMg2UN4 (PBE)

Data for an optimized crystal structure of TmMg2UN4.

Results
**ΔE_f (raw)**: -1.249 eV per atom
**Magnetization**: 1.00 μB per formula unit
**DFT total energy**: -62.240 eV/cell
**D(E_F)**: 3.03 states/eV/cell

abc: 5.5374 3.3958 5.7966
angles: 90.00 109.51 90.00
Space group P2/m (No. 10)
Asymmetric unit:
Tm 0.0000 0.0000 0.0000 x1
Mg 0.5000 0.0000 0.5000 x1
Mg 0.5000 0.5000 0.0000 x1
U 0.0000 0.5000 0.5000 x1
N 0.2357 0.5000 0.2615 x2
N 0.2445 0.0000 0.7403 x2


[4]
## Ge2SeOF (PBE)

Data for an optimized crystal structure of Ge2SeOF.

Results
**ΔE_f (raw)**: -0.179 eV per atom
**Magnetization**: 0.00 μB per formula unit
**DFT total energy**: -20.442 eV/cell
**D(E_F)**: 1.48 states/eV/cell

abc: 4.6008 4.6008 4.2206
angles: 90.00 90.00 90.00
Space group P4/mmm (No. 123)
Asymmetric unit:
Ge 0.0000 0.5000 0.0000 x2
Se 0.0000 0.0000 0.5000 x1
O 0.0000 0.0000 0.0000 x1
F 0.5000 0.5000 0.5000 x1